The following is a DFT calculation (PBE-GGA) of a geometry-optimized NaAgPb structure. Values from VASP.

Calculated values
Its symmetry is C2/m, No. 12. The value obtained for the formation enthalpy at 0 K is 15 meV/atom.

```
&SYSTEM
  ibrav = 0, nat = 6, ntyp = 3
/
ATOMIC_SPECIES
Na 22.99 Na.upf
Ag 107.87 Ag.upf
Pb 207.20 Pb.upf
CELL_PARAMETERS angstrom
5.369 -1.926 0.000
5.369 1.926 0.000
-3.312 0.000 7.557
ATOMIC_POSITIONS crystal
Na 0.120 0.120 0.434
Na 0.880 0.880 0.566
Ag 0.376 0.376 0.847
Ag 0.624 0.624 0.153
Pb 0.349 0.349 0.195
Pb 0.651 0.651 0.805
```



The following is a DFT calculation (PBE-GGA) of a geometry-optimized KHf2NbZn structure. Values from VASP.

Calculated values
Its symmetry is P4/mmm, No. 123. Its polymorph energy (0 for the lowest one) is 992 meV/atom. The value obtained for the formation enthalpy at 0 K is 2321 meV/atom.

```
&SYSTEM
  ibrav = 0, nat = 5, ntyp = 4
/
ATOMIC_SPECIES
K 39.10 K.upf
Hf 178.49 Hf.upf
Nb 92.91 Nb.upf
Zn 65.41 Zn.upf
CELL_PARAMETERS angstrom
4.892 0.000 0.000
0.000 4.892 0.000
0.000 0.000 4.663
ATOMIC_POSITIONS crystal
K 0.000 0.000 0.000
Hf 0.000 0.500 0.000
Hf 0.500 0.000 0.000
Nb 0.000 0.000 0.500
Zn 0.500 0.500 0.500
```



The following is a DFT calculation (PBE-GGA) of a geometry-optimized LiGdAs structure. Values from VASP.

Calculated values
Its symmetry is F-43m, No. 216. Its polymorph energy (0 for the lowest one) is 119 meV/atom. The value obtained for the formation enthalpy at 0 K is -875 meV/atom.

```
&SYSTEM
  ibrav = 0, nat = 3, ntyp = 3
/
ATOMIC_SPECIES
Li 6.94 Li.upf
Gd 157.25 Gd.upf
As 74.92 As.upf
CELL_PARAMETERS angstrom
0.000 3.288 3.288
3.288 0.000 3.288
3.288 3.288 0.000
ATOMIC_POSITIONS crystal
Li 0.000 0.000 0.000
Gd 0.500 0.500 0.500
As 0.250 0.250 0.250
```



| no. | total magnetization (μB per atom) | energy (eV per cell) |
| --- | --- | --- |
| 1 | 0.0000 | -15.665 |
| 2 | 0.3524 | -20.743 |
| 3 | 2.3647 | -23.270 |